1.
Density functional theory data (PBE) for an optimized crystal structure of Cs3Ca2HfTe6.

## Properties
As for the formation energy without anion corrections: -1140 meV per atom. As for the space group: C2/m (12).

Cell lengths 7.866, 7.866, 9.287 Å; angles 98.11, 98.11, 119.91 degrees
Fractional positions:
Cs1 0.000 0.000 0.000
Cs2 0.326 0.674 0.000
Cs3 0.674 0.326 0.000
Ca1 0.166 0.834 0.500
Ca2 0.834 0.166 0.500
Hf1 0.500 0.500 0.500
Te1 0.130 0.438 0.314
Te2 0.257 0.257 0.690
Te3 0.438 0.130 0.314
Te4 0.562 0.870 0.686
Te5 0.743 0.743 0.310
Te6 0.870 0.562 0.686

2.
Density functional theory data (PBE) for an optimized crystal structure of CsCaHg2.

## Properties
As for the space group: Fm-3m (225). The value obtained for the distance to the lowest polymorph of the same formula is 143 meV per atom.

Cell lengths 5.921, 5.921, 5.921 Å; angles 60.00, 60.00, 60.00 degrees
Fractional positions:
Cs1 0.000 0.000 0.000
Ca1 0.500 0.500 0.500
Hg1 0.250 0.250 0.250
Hg2 0.750 0.750 0.750

3.
Density functional theory data (PBE) for an optimized crystal structure of Cs2CaHg6.

## Properties
The final energy comes out at -0.85 eV per atom. As for the space group: P-3m1 (164).

Cell lengths 7.421, 7.421, 6.761 Å; angles 90.00, 90.00, 120.00 degrees
Fractional positions:
Cs1 0.333 0.667 0.158
Cs2 0.667 0.333 0.842
Ca1 0.000 0.000 0.000
Hg1 0.180 0.359 0.665
Hg2 0.180 0.820 0.665
Hg3 0.359 0.180 0.335
Hg4 0.641 0.820 0.665
Hg5 0.820 0.180 0.335
Hg6 0.820 0.641 0.335

4.
Density functional theory data (PBE) for an optimized crystal structure of CsCaHg2.

## Properties
As for the space group: P4/mmm (123). The value obtained for the distance to the lowest polymorph of the same formula is 89 meV per atom.

Cell lengths 5.983, 5.983, 3.921 Å; angles 90.00, 90.00, 90.00 degrees
Fractional positions:
Cs1 0.000 0.000 0.000
Ca1 0.500 0.500 0.000
Hg1 0.000 0.500 0.500
Hg2 0.500 0.000 0.500

5.
Density functional theory data (PBE) for an optimized crystal structure of Cs2CaHg10.

## Properties
The final energy comes out at -0.70 eV per atom. As for the space group: Pbam (55).

Cell lengths 11.247, 12.036, 7.313 Å; angles 90.00, 90.00, 90.00 degrees
Fractional positions:
Cs1 0.230 0.047 0.000
Cs2 0.270 0.547 0.000
Cs3 0.730 0.453 0.000
Cs4 0.770 0.953 0.000
Ca1 0.000 0.500 0.500
Ca2 0.500 0.000 0.500
Hg1 0.035 0.124 0.500
Hg2 0.043 0.314 0.204
Hg3 0.043 0.314 0.796
Hg4 0.195 0.684 0.500
Hg5 0.236 0.927 0.500
Hg6 0.264 0.427 0.500
Hg7 0.305 0.184 0.500
Hg8 0.457 0.814 0.204
Hg9 0.457 0.814 0.796
Hg10 0.465 0.624 0.500
Hg11 0.535 0.376 0.500
Hg12 0.543 0.186 0.204
Hg13 0.543 0.186 0.796
Hg14 0.695 0.816 0.500
Hg15 0.736 0.573 0.500
Hg16 0.764 0.073 0.500
Hg17 0.805 0.316 0.500
Hg18 0.957 0.686 0.204
Hg19 0.957 0.686 0.796
Hg20 0.965 0.876 0.500

6.
Density functional theory data (PBE) for an optimized crystal structure of Cs2CaHg.

## Properties
As for the space group: R-3m (166). The value obtained for the distance to the lowest polymorph of the same formula is 108 meV per atom.

Cell lengths 14.268, 14.268, 14.268 Å; angles 17.82, 17.82, 17.82 degrees
Fractional positions:
Cs1 0.100 0.100 0.100
Cs2 0.900 0.900 0.900
Ca1 0.000 0.000 0.000
Hg1 0.500 0.500 0.500

7.
Density functional theory data (PBE) for an optimized crystal structure of Cs3CaHg.

## Properties
As for the space group: Pm-3m (221). The value obtained for the distance to the lowest polymorph of the same formula is 0 meV per atom.

Cell lengths 7.316, 7.316, 7.316 Å; angles 90.00, 90.00, 90.00 degrees
Fractional positions:
Cs1 0.000 0.000 0.500
Cs2 0.000 0.500 0.000
Cs3 0.500 0.000 0.000
Ca1 0.500 0.500 0.500
Hg1 0.000 0.000 0.000

8.
Density functional theory data (PBE) for an optimized crystal structure of CsCaHg2.

## Properties
As for the space group: P4/mmm (123). The value obtained for the distance to the lowest polymorph of the same formula is 0 meV per atom.

Cell lengths 4.035, 4.035, 8.833 Å; angles 90.00, 90.00, 90.00 degrees
Fractional positions:
Cs1 0.000 0.000 0.000
Ca1 0.000 0.000 0.500
Hg1 0.500 0.500 0.313
Hg2 0.500 0.500 0.687

9.
Density functional theory data (PBE) for an optimized crystal structure of Cs2CaHg4.

## Properties
The final energy comes out at -0.87 eV per atom. As for the space group: I4/mmm (139).

Cell lengths 10.538, 10.538, 10.538 Å; angles 146.64, 146.64, 47.89 degrees
Fractional positions:
Cs1 0.134 0.134 0.000
Cs2 0.866 0.866 0.000
Ca1 0.500 0.500 0.000
Hg1 0.000 0.500 0.500
Hg2 0.338 0.338 0.000
Hg3 0.500 0.000 0.500
Hg4 0.662 0.662 0.000

10.
Density functional theory data (PBE) for an optimized crystal structure of CsCa3Hg.

## Properties
As for the space group: Pm-3m (221). The value obtained for the distance to the lowest polymorph of the same formula is 0 meV per atom.

Cell lengths 6.166, 6.166, 6.166 Å; angles 90.00, 90.00, 90.00 degrees
Fractional positions:
Cs1 0.000 0.000 0.000
Ca1 0.000 0.500 0.500
Ca2 0.500 0.000 0.500
Ca3 0.500 0.500 0.000
Hg1 0.500 0.500 0.500

11.
Density functional theory data (PBE) for an optimized crystal structure of Cs2CaHg.

## Properties
As for the space group: Fm-3m (225). The value obtained for the distance to the lowest polymorph of the same formula is 124 meV per atom.

Cell lengths 7.095, 7.095, 7.095 Å; angles 60.00, 60.00, 60.00 degrees
Fractional positions:
Cs1 0.250 0.250 0.250
Cs2 0.750 0.750 0.750
Ca1 0.000 0.000 0.000
Hg1 0.500 0.500 0.500

12.
Density functional theory data (PBE) for an optimized crystal structure of CsCa3Hg.

## Properties
As for the space group: Pm-3m (221). The value obtained for the distance to the lowest polymorph of the same formula is 1116 meV per atom.

Cell lengths 5.851, 5.851, 5.851 Å; angles 90.00, 90.00, 90.00 degrees
Fractional positions:
Cs1 0.000 0.000 0.000
Ca1 0.000 0.000 0.500
Ca2 0.000 0.500 0.000
Ca3 0.500 0.000 0.000
Hg1 0.500 0.500 0.500